DFT (PBE-GGA) results for an optimized crystal structure of Tb14PrY.

## Properties
- space group = No. 38
- formation enthalpy at 0 K (eV/atom) = 0.002
- crystal system = orthorhombic
- DFT total energy (eV/atom) = -4.752

Cell and atoms, written as extended XYZ:
```
16
Lattice="-1.370 -3.939 -5.835 -3.097 -1.655 6.254 -8.893 6.908 -2.576" Properties=species:S:1:pos:R:3 pbc="T T T"
Tb -3.025 -1.751 5.748
Tb -2.161 -2.893 -0.296
Tb -5.636 2.151 -0.677
Tb -1.477 -0.925 2.618
Tb -7.869 -0.646 -0.467
Tb -3.709 -3.720 2.827
Tb -7.588 3.512 -3.340
Tb -3.106 0.030 -2.042
Tb -9.823 0.713 -3.131
Tb -5.340 -2.768 -1.833
Tb -9.121 2.670 -0.214
Tb -4.670 -0.787 1.074
Tb -8.269 1.538 -6.263
Tb -3.794 -1.938 -4.967
Pr -6.321 0.182 -3.592
Y -7.184 1.323 2.451
```